No. 1
LaTb2PmSm5 | PBE | relaxed

```
18
Lattice="-1.342 -8.740 0.911 -0.103 -0.906 -8.843 8.455 3.639 3.997" Properties=species:S:1:pos:R:3 pbc="T T T"
Tb -0.605 -4.146 -7.457
Tb -0.841 -5.501 -0.474
Tb -1.249 -8.275 -4.653
Tb -0.197 -1.372 -3.278
La 3.144 -5.415 -3.950
La 3.866 -0.592 0.016
Sm 1.645 -3.112 -1.497
Sm 5.966 1.161 2.483
Sm 5.285 -3.298 2.073
Sm 1.044 -7.168 -6.417
Sm 5.365 -2.896 -2.437
Sm -0.723 -4.823 -3.966
Sm 6.046 1.563 -2.028
Sm 1.725 -2.709 -6.008
Sm 0.964 -7.570 -1.907
Sm 0.000 0.000 0.000
Pm 3.195 -4.962 0.471
Pm 3.815 -1.045 -4.406
```

Results
V in Å³ per atom: 34.35
VASP energy in eV/cell: -80.2
Space-group type: I4/mcm (140)
Calculated formation energy in eV per atom: 0.270
Total magnetic moment in μB per cell: 0.0


No. 2
LaHo2Cd | PBE | relaxed

```
4
Lattice="-0.505 3.401 0.348 -1.942 1.202 2.594 8.837 2.262 7.872" Properties=species:S:1:pos:R:3 pbc="T T T"
Ho 0.326 4.812 4.921
Ho 6.064 2.053 5.893
Cd 3.195 3.433 5.407
La 0.000 0.000 0.000
```

Results
V in Å³ per atom: 30.73
Offset from the most stable computed form in eV per atom: 0.237
VASP energy in eV/cell: -14.6
Space-group type: R-3m (166)
Calculated formation energy in eV per atom: 0.091
Total magnetic moment in μB per cell: 0.0


No. 3
Ho2ThHg | PBE | relaxed

```
4
Lattice="3.609 0.000 0.000 0.000 3.609 0.000 0.000 0.000 8.694" Properties=species:S:1:pos:R:3 pbc="T T T"
Hg 1.804 1.804 0.000
Th 1.804 1.804 4.347
Ho 0.000 0.000 1.959
Ho 0.000 0.000 6.735
```

Results
V in Å³ per atom: 28.31
Offset from the most stable computed form in eV per atom: 0.000
VASP energy in eV/cell: -17.9
Space-group type: P4/mmm (123)
Calculated formation energy in eV per atom: -0.254
Total magnetic moment in μB per cell: 0.0


No. 4
HoTlAu | PBE | relaxed

```
3
Lattice="3.603 0.000 0.000 0.000 3.603 0.000 -1.801 -1.801 5.679" Properties=species:S:1:pos:R:3 pbc="T T T"
Au 0.000 0.000 3.335
Ho 1.801 1.801 4.881
Tl 1.801 1.801 1.438
```

Results
V in Å³ per atom: 24.57
VASP energy in eV/cell: -11.6
Space-group type: I4mm (107)
Calculated formation energy in eV per atom: -0.456
Total magnetic moment in μB per cell: 0.0


No. 5
La3SmDyEr | PBE | relaxed

```
12
Lattice="5.208 0.000 0.000 0.000 8.024 -1.123 0.000 -3.374 10.394" Properties=species:S:1:pos:R:3 pbc="T T T"
La 1.302 3.501 4.069
La 3.906 2.352 1.732
La 1.302 2.298 7.539
La 1.302 -2.219 9.798
La 3.906 1.149 5.202
La 3.906 6.868 -0.527
Dy 3.906 0.022 8.660
Dy 1.302 4.628 0.611
Sm 1.302 -0.013 2.914
Sm 3.906 4.662 6.357
Er 1.302 -1.121 6.330
Er 3.906 5.771 2.940
```

Results
V in Å³ per atom: 34.55
VASP energy in eV/cell: -57.0
Space-group type: P2_1/m (11)
Calculated formation energy in eV per atom: 0.032
Total magnetic moment in μB per cell: 0.0


No. 6
GaSnBr5 | PBE | relaxed

```
14
Lattice="7.346 0.407 -2.264 -1.661 7.124 -2.384 -0.326 -0.312 11.004" Properties=species:S:1:pos:R:3 pbc="T T T"
Br 1.014 6.527 -1.065
Br 1.217 2.187 6.006
Br 4.140 5.142 0.333
Br 1.398 2.670 -0.887
Br -1.019 6.039 6.171
Br 4.445 2.112 3.855
Br 4.124 4.525 7.094
Br 4.262 0.696 7.471
Br 6.184 1.544 0.517
Br 0.943 4.901 2.464
Ga 3.578 2.473 6.028
Ga 1.792 4.707 0.253
Sn 5.364 7.212 6.226
Sn 6.304 3.735 1.959
```

Results
V in Å³ per atom: 40.84
VASP energy in eV/cell: -41.5
Space-group type: P1 (1)
Formation energy without anion corrections in eV/f.u.: -5.36
Total magnetic moment in μB per cell: 0.0


No. 7
MnOsRu2 | PBE | relaxed

```
4
Lattice="-1.697 0.693 -2.149 1.994 -3.073 -2.566 -2.962 -3.053 1.354" Properties=species:S:1:pos:R:3 pbc="T T T"
Ru 0.149 -1.190 -2.357
Ru 0.000 0.000 0.000
Os -0.484 -3.063 -0.606
Mn -2.330 -1.180 -0.397
```

Results
V in Å³ per atom: 14.10
Offset from the most stable computed form in eV per atom: 0.285
VASP energy in eV/cell: -37.5
Space-group type: Pmmm (47)
Calculated formation energy in eV per atom: 0.362
Total magnetic moment in μB per cell: 2.9


No. 8
Sc8ZnRu2 | PBE | relaxed

```
11
Lattice="-3.352 2.352 2.575 -0.089 -4.803 4.269 6.986 4.536 0.411" Properties=species:S:1:pos:R:3 pbc="T T T"
Sc 0.281 2.312 4.451
Sc 0.599 0.118 2.324
Sc 1.054 -1.806 4.672
Sc -1.665 -2.150 5.990
Sc 0.818 4.858 2.824
Sc 4.194 4.327 3.162
Sc 2.968 0.906 4.689
Sc 5.844 1.776 3.097
Zn 5.806 -0.226 4.877
Ru -1.014 0.054 4.824
Ru 2.385 2.335 2.624
```

Results
V in Å³ per atom: 20.65
VASP energy in eV/cell: -74.1
Space-group type: Imm2 (44)
Calculated formation energy in eV per atom: -0.329
Total magnetic moment in μB per cell: 0.0


No. 9
Zr2TaTiH | PBE | relaxed

```
5
Lattice="-0.808 3.620 -2.835 -2.944 -2.618 -2.504 -2.872 1.102 2.226" Properties=species:S:1:pos:R:3 pbc="T T T"
Zr -0.404 1.810 -1.417
Zr -1.472 -1.309 -1.252
H 0.000 0.000 0.000
Ti -1.436 0.551 1.113
Ta -3.312 1.052 -1.557
```

Results
V in Å³ per atom: 16.55
Offset from the most stable computed form in eV per atom: 0.000
VASP energy in eV/cell: -40.3
Space-group type: P4/mmm (123)
Total magnetic moment in μB per cell: 0.0


No. 10
Li2SiS | PBE | relaxed

```
24
Lattice="-1.886 -2.725 -2.149 1.142 -0.836 3.687 -27.032 10.267 10.698" Properties=species:S:1:pos:R:3 pbc="T T T"
Li -16.493 3.836 5.977
Li -14.084 5.349 5.574
Li -4.548 -0.701 1.250
Li -19.880 6.136 9.662
Li -23.971 6.676 8.936
Li -24.495 7.888 11.489
Li -11.879 2.084 4.151
Li -21.693 8.239 8.585
Li -1.992 0.757 0.788
Li -12.550 3.351 6.761
Li -4.940 0.461 3.750
Li -6.606 2.509 2.615
Si -17.673 6.713 6.994
Si -8.530 1.825 5.170
Si -8.781 0.907 2.925
Si -25.926 9.847 10.261
Si -27.560 8.040 10.357
Si -16.783 4.959 8.436
S -22.335 7.068 10.634
S -19.589 7.440 7.753
S -4.447 1.689 1.760
S -2.444 -1.500 0.417
S -10.446 2.552 5.928
S -14.334 3.016 5.122
```

Results
V in Å³ per atom: 17.36
Offset from the most stable computed form in eV per atom: 0.036
VASP energy in eV/cell: -99.3
Space-group type: R3m (160)
Formation energy without anion corrections in eV/f.u.: -3.17
Total magnetic moment in μB per cell: 0.0


No. 11
DyLuTcPd | PBE | relaxed

```
4
Lattice="-0.648 -2.437 4.124 -0.907 -4.747 -0.115 3.354 -3.139 1.506" Properties=species:S:1:pos:R:3 pbc="T T T"
Tc 0.900 -5.161 2.758
Pd 0.000 0.000 0.000
Lu 0.450 -2.581 1.379
Dy 1.350 -7.742 4.137
```

Results
V in Å³ per atom: 19.97
VASP energy in eV/cell: -26.4
Space-group type: F-43m (216)
Calculated formation energy in eV per atom: -0.424
Total magnetic moment in μB per cell: 0.0


No. 12
LiPmIrRh | PBE | relaxed

```
4
Lattice="-2.665 -0.941 -3.674 0.229 -4.164 -2.024 -3.536 -2.970 0.402" Properties=species:S:1:pos:R:3 pbc="T T T"
Li 0.000 0.000 0.000
Pm -2.986 -4.037 -2.648
Ir -1.493 -2.019 -1.324
Rh -4.479 -6.056 -3.972
```

Results
V in Å³ per atom: 17.60
VASP energy in eV/cell: -24.0
Space-group type: F-43m (216)
Calculated formation energy in eV per atom: -0.273
Total magnetic moment in μB per cell: 0.0